{"formula": "Tb3InCo", "functional": "PBE", "state": "relaxed", "lattice_angstrom": [[8.472, 0.000, 0.000], [0.000, 3.843, 0.000], [-3.420, 0.000, 7.992]], "species": ["Tb", "Tb", "Tb", "Tb", "Tb", "Tb", "In", "In", "Co", "Co"], "frac_coords": [[0.032, 0.250, 0.228], [0.320, 0.750, 0.573], [0.331, 0.250, 0.901], [0.669, 0.750, 0.099], [0.680, 0.250, 0.427], [0.968, 0.750, 0.772], [0.337, 0.750, 0.205], [0.663, 0.250, 0.795], [0.063, 0.250, 0.580], [0.937, 0.750, 0.420]], "total_magnetization_mub_per_atom": 0.000, "dft_energy_ev_per_atom": -5.01, "e_above_lowest_polymorph_ev_per_atom": 0.000, "delta_e_f_ev_per_fu": -1.3}

{"formula": "Tb6InCo2", "functional": "PBE", "state": "relaxed", "lattice_angstrom": [[-4.688, 4.864, 5.005], [4.688, -4.864, 5.005], [4.688, 4.864, -5.005]], "species": ["Tb", "Tb", "Tb", "Tb", "Tb", "Tb", "Tb", "Tb", "Tb", "Tb", "Tb", "Tb", "In", "In", "Co", "Co", "Co", "Co"], "frac_coords": [[0.030, 0.236, 0.794], [0.184, 0.286, 0.470], [0.184, 0.714, 0.898], [0.324, 0.011, 0.687], [0.324, 0.636, 0.313], [0.442, 0.236, 0.206], [0.558, 0.764, 0.794], [0.676, 0.364, 0.687], [0.676, 0.989, 0.313], [0.816, 0.286, 0.102], [0.816, 0.714, 0.530], [0.970, 0.764, 0.206], [0.000, 0.000, 0.000], [0.500, 0.500, 0.000], [0.113, 0.613, 0.500], [0.339, 0.000, 0.339], [0.661, 0.000, 0.661], [0.887, 0.387, 0.500]], "total_magnetization_mub_per_atom": 0.000, "dft_energy_ev_per_atom": -5.23, "delta_e_f_ev_per_fu": -2.3}